No. 1
DFT (PBE-GGA) results for an optimized crystal structure of VMoN2.

Lattice parameters (Å, degrees): 6.3596 6.3596 6.3596 26.45 26.45 26.45
Positions (direct):
1 V 0.0000 0.0000 0.0000
2 Mo 0.5000 0.5000 0.5000
3 N 0.3933 0.3933 0.3933
4 N 0.6067 0.6067 0.6067

Output
Formation energy from raw total energies (meV per atom): -196.4
Energy (eV/atom): -9.35
DOS(E_F) (states/eV per cell): 3.68
Energy relative to the lowest polymorph listed for this composition (eV per atom): 0.487

***

No. 2
DFT (PBE-GGA) results for an optimized crystal structure of VMo3N.

Lattice parameters (Å, degrees): 4.4785 4.4785 4.4785 90.00 90.00 90.00
Positions (direct):
1 V 0.0000 0.0000 0.0000
2 Mo 0.0000 0.0000 0.5000
3 Mo 0.0000 0.5000 0.0000
4 Mo 0.5000 0.0000 0.0000
5 N 0.5000 0.5000 0.5000

Output
Formation energy from raw total energies (meV per atom): 2405.5
Energy (eV/atom): -7.58
DOS(E_F) (states/eV per cell): 7.00
Energy relative to the lowest polymorph listed for this composition (eV per atom): 2.456

***

No. 3
DFT (PBE-GGA) results for an optimized crystal structure of VMoN.

Lattice parameters (Å, degrees): 2.9871 2.9871 4.5202 90.00 90.00 120.00
Positions (direct):
1 V 0.0000 0.0000 0.0000
2 Mo 0.6667 0.3333 0.5035
3 N 0.3333 0.6667 0.7809

Output
Formation energy from raw total energies (meV per atom): -513.3
Energy (eV/atom): -9.94
DOS(E_F) (states/eV per cell): 2.02

***

No. 4
DFT (PBE-GGA) results for an optimized crystal structure of V2Mo4N.

Lattice parameters (Å, degrees): 7.0108 7.0108 7.0108 146.50 146.50 48.11
Positions (direct):
1 V 0.1343 0.1343 0.0000
2 V 0.8657 0.8657 0.0000
3 Mo 0.0000 0.5000 0.5000
4 Mo 0.3282 0.3282 0.0000
5 Mo 0.5000 0.0000 0.5000
6 Mo 0.6718 0.6718 0.0000
7 N 0.5000 0.5000 0.0000

Output
Formation energy from raw total energies (meV per atom): 350.6
Energy (eV/atom): -9.63
DOS(E_F) (states/eV per cell): 9.41

***

No. 5
DFT (PBE-GGA) results for an optimized crystal structure of VMoN3.

Lattice parameters (Å, degrees): 3.7610 3.7610 3.7610 90.00 90.00 90.00
Positions (direct):
1 V 0.0000 0.0000 0.0000
2 Mo 0.5000 0.5000 0.5000
3 N 0.0000 0.0000 0.5000
4 N 0.0000 0.5000 0.0000
5 N 0.5000 0.0000 0.0000

Output
Formation energy from raw total energies (meV per atom): 606.5
Energy (eV/atom): -8.38
DOS(E_F) (states/eV per cell): 2.00

***

No. 6
DFT (PBE-GGA) results for an optimized crystal structure of VMo3N.

Lattice parameters (Å, degrees): 4.1102 4.1102 4.1102 90.00 90.00 90.00
Positions (direct):
1 V 0.0000 0.0000 0.0000
2 Mo 0.0000 0.5000 0.5000
3 Mo 0.5000 0.0000 0.5000
4 Mo 0.5000 0.5000 0.0000
5 N 0.5000 0.5000 0.5000

Output
Formation energy from raw total energies (meV per atom): -50.1
Energy (eV/atom): -10.04
DOS(E_F) (states/eV per cell): 7.23
Energy relative to the lowest polymorph listed for this composition (eV per atom): 0.000

***

No. 7
DFT (PBE-GGA) results for an optimized crystal structure of VMoN3.

Lattice parameters (Å, degrees): 3.9255 3.9255 3.9255 90.00 90.00 90.00
Positions (direct):
1 V 0.0000 0.0000 0.0000
2 Mo 0.5000 0.5000 0.5000
3 N 0.0000 0.5000 0.5000
4 N 0.5000 0.0000 0.5000
5 N 0.5000 0.5000 0.0000

Output
Formation energy from raw total energies (meV per atom): 591.8
Energy (eV/atom): -8.39
DOS(E_F) (states/eV per cell): 2.78

***

No. 8
DFT (PBE-GGA) results for an optimized crystal structure of VMoN2.

Lattice parameters (Å, degrees): 5.7413 5.7413 5.7413 28.34 28.34 28.34
Positions (direct):
1 V 0.0000 0.0000 0.0000
2 Mo 0.8336 0.8336 0.8336
3 N 0.2577 0.2577 0.2577
4 N 0.4121 0.4121 0.4121

Output
Formation energy from raw total energies (meV per atom): -683.8
Energy (eV/atom): -9.83
DOS(E_F) (states/eV per cell): 1.18
Energy relative to the lowest polymorph listed for this composition (eV per atom): 0.000

***

No. 9
DFT (PBE-GGA) results for an optimized crystal structure of VMo2N.

Lattice parameters (Å, degrees): 8.1370 8.1370 8.1370 19.68 19.68 19.68
Positions (direct):
1 V 0.0000 0.0000 0.0000
2 Mo 0.1058 0.1058 0.1058
3 Mo 0.8942 0.8942 0.8942
4 N 0.5000 0.5000 0.5000

Output
Formation energy from raw total energies (meV per atom): 323.9
Energy (eV/atom): -9.45
DOS(E_F) (states/eV per cell): 5.05

***

No. 10
DFT (PBE-GGA) results for an optimized crystal structure of VMoN.

Lattice parameters (Å, degrees): 5.2138 5.2138 5.2138 150.74 150.74 41.85
Positions (direct):
1 V 0.0000 0.0000 0.0000
2 Mo 0.7292 0.7292 0.0000
3 N 0.4124 0.4124 0.0000

Output
Formation energy from raw total energies (meV per atom): -149.5
Energy (eV/atom): -9.57
DOS(E_F) (states/eV per cell): 0.77

***

No. 11
DFT (PBE-GGA) results for an optimized crystal structure of VMo2N.

Lattice parameters (Å, degrees): 5.4676 5.4676 5.4676 98.41 98.41 135.03
Positions (direct):
1 V 0.0000 0.0000 0.0000
2 V 0.7500 0.2500 0.5000
3 Mo 0.2423 0.6250 0.1173
4 Mo 0.3750 0.4923 0.6173
5 Mo 0.5077 0.1250 0.8827
6 Mo 0.8750 0.7577 0.3827
7 N 0.2500 0.7500 0.5000
8 N 0.5000 0.5000 0.0000

Output
Formation energy from raw total energies (meV per atom): -92.8
Energy (eV/atom): -9.87
DOS(E_F) (states/eV per cell): 5.33

***

No. 12
DFT (PBE-GGA) results for an optimized crystal structure of VMoWN2.

Lattice parameters (Å, degrees): 3.7216 3.7216 5.1375 90.00 90.00 90.00
Positions (direct):
1 V 0.0000 0.0000 0.0000
2 Mo 0.0000 0.0000 0.5000
3 W 0.5000 0.5000 0.5000
4 N 0.0000 0.5000 0.0000
5 N 0.5000 0.0000 0.0000

Output
Formation energy from raw total energies (meV per atom): 1377.5
Energy (eV/atom): -8.53
DOS(E_F) (states/eV per cell): 5.31

***

- DOS(E_F) of number 7 (VMoN3)?
  2.78 states/eV per cell